KNaV6Pb8O24: PBEsol geometry, meta-GGA SCAN.

Cell lengths 10.0087, 10.0087, 7.3666 Å; angles 90.00, 90.00, 120.00 degrees
Space group P3 (No. 143)
Unique sites:
K 0.0000 0.0000 0.0000
Na 0.3333 0.6667 0.4801
V 0.0442 0.3211 0.2367
V 0.0602 0.7072 0.7202
Pb 0.0000 0.0000 0.5026
Pb 0.3333 0.6667 0.0032
Pb 0.4135 0.0809 0.7254
Pb 0.4173 0.3355 0.2332
O 0.0249 0.6019 0.9143
O 0.0783 0.8369 0.2545
O 0.1452 0.5200 0.2326
O 0.1759 0.4338 0.6969
O 0.1910 0.1546 0.7207
O 0.3186 0.0670 0.0483
O 0.3389 0.0860 0.4115
O 0.4272 0.4136 0.5499

Formation energy (no corrections) ... -2.10 eV per atom
Total magnetic moment ... 0.000 μB per cell
Uncorrected energy ... -23.9365 eV per atom
Calculated density ... 6.260 g/cm³